[1]
Density functional theory data (PBE) for a relaxed Ce2CoCl crystal.

Computed properties:
raw formation energy = -800 meV per atom
crystal system = trigonal
E above lowest polymorph = 19 meV/atom

Lattice parameters (Å, degrees): 3.8474 3.8474 22.6796 90.00 90.00 120.00
Space group R3m (No. 160, hexagonal axes)
Asymmetric unit:
Ce1 0.0000 0.0000 0.0000 x3
Ce2 0.0000 0.0000 0.2002 x3
Co1 0.0000 0.0000 0.6015 x3
Cl1 0.0000 0.0000 0.4323 x3


[2]
Density functional theory data (PBE) for a relaxed Cs2Np2TaSe6 crystal.

Computed properties:
raw formation energy = -1086 meV per atom
crystal system = monoclinic

Lattice parameters (Å, degrees): 7.019 12.056 8.976 90.00 105.83 90.00
Space group C2/m (No. 12)
Asymmetric unit:
Cs1 0.000 0.171 0.000 x4
Np1 0.000 0.333 0.500 x4
Ta1 0.000 0.000 0.500 x2
Se1 0.220 0.154 0.683 x8
Se2 0.247 0.000 0.319 x4


Question: raw formation energy of number 1 (Ce2CoCl)?
Answer: -800 meV per atom